1.
GGA-PBE Sm2YCd, optimized geometry; DFT formation energy = -0.054 eV/atom; total DFT energy (no corrections) = -17.03 eV per cell; calculated volume = 31.5 Å³/atom; ΔE to the lowest computed polymorph = 101.1 meV per atom
1.0
3.6444 -0.0001 0.0006
1.8221 3.1562 0.0006
1.8240 1.0531 10.9379
Sm Y Cd
2 1 1
Cartesian
1.8228 1.0524 2.5682
1.8239 1.0530 8.3664
3.6450 2.1044 5.4717
3.6442 2.1040 0.0024



2.
GGA-PBE SrGa3Ag10, optimized geometry; DFT formation energy = 0.008 eV/atom; total DFT energy (no corrections) = -78.33 eV per cell; calculated volume = 20.6 Å³/atom
1.0
0.7404 0.3881 9.3108
0.8338 -7.8829 4.9552
8.1210 -2.0853 4.1341
Ag Ga Sr
20 6 2
Cartesian
4.1284 -7.2723 9.3607
2.2706 -4.9301 9.4108
7.4245 -4.6500 8.9893
5.5836 -4.1040 4.4200
0.2578 0.1351 3.2420
3.3712 -5.8642 4.6693
0.8012 -5.0029 6.4718
5.6090 -6.0489 7.0692
3.3103 -0.4731 7.5083
5.5510 -1.2241 5.9366
5.5667 -2.3078 9.0394
0.2903 -2.7448 1.7254
3.7512 -3.7067 7.1194
5.2932 -1.3592 2.6946
0.4826 0.2530 6.0688
0.5435 -5.1381 3.2298
0.7729 -2.4919 7.7942
4.0861 -3.5312 11.3309
2.8277 -0.7261 1.4395
5.9439 -5.8734 11.2807
2.9252 -6.2713 7.1671
2.8805 -2.3101 9.2531
6.4153 -3.4947 6.7738
6.7699 -3.3088 11.2330
3.2798 -6.0854 11.6263
6.8146 -7.2700 9.1470
2.4238 -2.3950 4.6000
7.2713 -7.1851 13.8001



3.
GGA-PBE Pu5Ti, optimized geometry; DFT formation energy = 0.206 eV/atom; total DFT energy (no corrections) = -78.32 eV per cell; calculated volume = 19.4 Å³/atom
1.0
-2.7498 3.8751 0.3807
-1.1820 -0.4273 -4.1883
-3.7082 -2.9883 3.6341
Ti Pu
1 5
Cartesian
0.0000 0.0000 0.0000
-5.0246 -0.5542 -0.8082
-1.9659 1.7239 -1.9038
-2.5417 -1.8931 0.9104
-2.6153 1.0137 0.6346
-2.3484 -1.5226 -1.4647



4.
GGA-PBE CeGaCoNi, optimized geometry; DFT formation energy = -0.292 eV/atom; total DFT energy (no corrections) = -23.01 eV per cell; calculated volume = 16.0 Å³/atom
1.0
-2.9148 3.2332 -1.0882
-4.1325 -1.0757 -1.3782
-3.5313 0.8200 2.6441
Ni Co Ce Ga
1 1 1 1
Cartesian
-7.9340 2.2331 0.1333
-2.6447 0.7444 0.0444
0.0000 0.0000 0.0000
-5.2893 1.4888 0.0889



5.
GGA-PBE PaAgPb2, optimized geometry; DFT formation energy = 0.330 eV/atom; total DFT energy (no corrections) = -18.44 eV per cell; calculated volume = 26.7 Å³/atom; ΔE to the lowest computed polymorph = 298.2 meV per atom
1.0
3.2857 0.0000 0.0000
1.6428 2.8455 0.0000
1.6428 0.9485 11.4266
Pb Pa Ag
2 1 1
Cartesian
1.6428 0.9485 8.1504
4.9285 2.8455 3.2761
0.0000 0.0000 0.0000
3.2857 1.8970 5.7133



6.
GGA-PBE LaZn2Ru, optimized geometry; DFT formation energy = 0.063 eV/atom; total DFT energy (no corrections) = -16.50 eV per cell; calculated volume = 19.3 Å³/atom
1.0
-4.9022 0.9139 -4.0379
-1.0438 -0.1424 4.7541
-1.7762 3.0686 -0.3072
Ru Zn La
1 2 1
Cartesian
-2.9730 0.3857 0.3581
-3.3392 1.9912 -2.1725
0.0000 0.0000 0.0000
-1.4100 1.4631 2.2235